The following is a PBE calculation of a relaxed structure of HfZr2Te, from Alexandria via LeMat-Bulk.

```
data_HfZr2Te
_chemical_formula_sum 'Hf4 Zr8 Te4'
_space_group_name_H-M_alt 'C m c m'
_space_group_IT_number 63
_space_group_name_Hall '-C 2c 2'
_cell_length_a 3.596
_cell_length_b 15.334
_cell_length_c 7.023
_cell_angle_alpha 90.00
_cell_angle_beta 90.00
_cell_angle_gamma 90.00
loop_
_atom_site_label
_atom_site_type_symbol
_atom_site_fract_x
_atom_site_fract_y
_atom_site_fract_z
_atom_site_occupancy
Hf1 Hf 0.000 0.004 0.250 1
Zr1 Zr 0.000 0.377 0.025 1
Te1 Te 0.000 0.209 0.250 1
```

Computed properties:
- DOS(E_F) (states/eV/cell) = 11.46
- V (Å³ per cell) = 387

=====

The following is a PBE calculation of a relaxed structure of HfZr2Te4, from Alexandria via LeMat-Bulk.

```
data_HfZr2Te4
_chemical_formula_sum 'Hf4 Zr8 Te16'
_space_group_name_H-M_alt 'C 1 c 1'
_space_group_IT_number 9
_cell_length_a 8.027
_cell_length_b 13.631
_cell_length_c 8.138
_cell_angle_alpha 90.00
_cell_angle_beta 118.67
_cell_angle_gamma 90.00
loop_
_space_group_symop_operation_xyz
'x,y,z'
'x,-y,z+1/2'
'x+1/2,y+1/2,z'
'x+1/2,-y+1/2,z+1/2'
loop_
_atom_site_label
_atom_site_type_symbol
_atom_site_fract_x
_atom_site_fract_y
_atom_site_fract_z
_atom_site_occupancy
Hf1 Hf 0.000 0.124 0.000 1
Zr1 Zr 0.021 0.122 0.572 1
Zr2 Zr 0.073 0.367 0.093 1
Te1 Te 0.185 0.499 0.890 1
Te2 Te 0.202 0.015 0.382 1
Te3 Te 0.360 0.258 0.718 1
Te4 Te 0.375 0.223 0.211 1
```

Computed properties:
- DOS(E_F) (states/eV/cell) = 23.51
- V (Å³ per cell) = 781

=====

The following is a PBE calculation of a relaxed structure of HfZr3Te, from Alexandria via LeMat-Bulk.

```
data_HfZr3Te
_chemical_formula_sum 'Hf4 Zr12 Te4'
_space_group_name_H-M_alt 'C 1 2/m 1'
_space_group_IT_number 12
_cell_length_a 11.119
_cell_length_b 5.220
_cell_length_c 8.498
_cell_angle_alpha 90.00
_cell_angle_beta 111.41
_cell_angle_gamma 90.00
loop_
_space_group_symop_operation_xyz
'x,y,z'
'-x,-y,-z'
'-x,y,-z'
'x,-y,z'
'x+1/2,y+1/2,z'
'-x+1/2,-y+1/2,-z'
'-x+1/2,y+1/2,-z'
'x+1/2,-y+1/2,z'
loop_
_atom_site_label
_atom_site_type_symbol
_atom_site_fract_x
_atom_site_fract_y
_atom_site_fract_z
_atom_site_occupancy
Hf1 Hf 0.049 0.000 0.349 1
Zr1 Zr 0.144 0.000 0.026 1
Zr2 Zr 0.164 0.500 0.556 1
Zr3 Zr 0.244 0.500 0.255 1
Te1 Te 0.062 0.500 0.830 1
```

Computed properties:
- DOS(E_F) (states/eV/cell) = 23.62
- V (Å³ per cell) = 459

=====

The following is a PBE calculation of a relaxed structure of HfZr2Te5, from Alexandria via LeMat-Bulk.

```
data_HfZr2Te5
_chemical_formula_sum 'Hf4 Zr8 Te20'
_space_group_name_H-M_alt 'C m c m'
_space_group_IT_number 63
_space_group_name_Hall '-C 2c 2'
_cell_length_a 5.642
_cell_length_b 13.791
_cell_length_c 13.530
_cell_angle_alpha 90.00
_cell_angle_beta 90.00
_cell_angle_gamma 90.00
loop_
_atom_site_label
_atom_site_type_symbol
_atom_site_fract_x
_atom_site_fract_y
_atom_site_fract_z
_atom_site_occupancy
Hf1 Hf 0.000 0.193 0.250 1
Zr1 Zr 0.000 0.173 0.536 1
Te1 Te 0.000 0.038 0.119 1
Te2 Te 0.000 0.249 0.750 1
Te3 Te 0.000 0.342 0.090 1
```

Computed properties:
- DOS(E_F) (states/eV/cell) = 12.38
- V (Å³ per cell) = 1053

=====

The following is a PBE calculation of a relaxed structure of HfZr3Te, from Alexandria via LeMat-Bulk.

```
data_HfZr3Te
_chemical_formula_sum 'Hf1 Zr3 Te1'
_space_group_name_H-M_alt 'P m -3 m'
_space_group_IT_number 221
_space_group_name_Hall '-P 4 2 3'
_cell_length_a 5.223
_cell_length_b 5.223
_cell_length_c 5.223
_cell_angle_alpha 90.00
_cell_angle_beta 90.00
_cell_angle_gamma 90.00
loop_
_atom_site_label
_atom_site_type_symbol
_atom_site_fract_x
_atom_site_fract_y
_atom_site_fract_z
_atom_site_occupancy
Hf1 Hf 0.000 0.000 0.000 1
Zr1 Zr 0.000 0.500 0.500 1
Te1 Te 0.500 0.500 0.500 1
```

Computed properties:
- DOS(E_F) (states/eV/cell) = 4.26
- V (Å³ per cell) = 142

=====

The following is a PBE calculation of a relaxed structure of HfZr3Te, from Alexandria via LeMat-Bulk.

```
data_HfZr3Te
_chemical_formula_sum 'Hf1 Zr3 Te1'
_space_group_name_H-M_alt 'P m -3 m'
_space_group_IT_number 221
_space_group_name_Hall '-P 4 2 3'
_cell_length_a 5.200
_cell_length_b 5.200
_cell_length_c 5.200
_cell_angle_alpha 90.00
_cell_angle_beta 90.00
_cell_angle_gamma 90.00
loop_
_atom_site_label
_atom_site_type_symbol
_atom_site_fract_x
_atom_site_fract_y
_atom_site_fract_z
_atom_site_occupancy
Hf1 Hf 0.000 0.000 0.000 1
Zr1 Zr 0.000 0.000 0.500 1
Te1 Te 0.500 0.500 0.500 1
```

Computed properties:
- DOS(E_F) (states/eV/cell) = 8.19
- V (Å³ per cell) = 141

=====

For the records above, the corresponding uncorrected formation energy values read -0.371; -0.785; -0.158; -0.715; 0.592; 0.907 eV per atom.